1.
## PrHoIn2Pt4 (GGA-PBE)

Data for an optimized crystal structure of PrHoIn2Pt4.

Output
- raw total energy (eV/atom) = -5.813
- theoretical density (g cm⁻³) = 12.9

Lattice parameters (Å, degrees): 4.610 4.610 9.221 90.00 90.00 120.00
Element x y z (fractional)
Pr 0.000 0.000 0.000
Ho 0.333 0.667 0.500
In 0.667 0.333 0.254
In 0.667 0.333 0.746
Pt 0.000 0.000 0.347
Pt 0.000 0.000 0.653
Pt 0.333 0.667 0.168
Pt 0.333 0.667 0.832



2.
## TmMoW (GGA-PBE)

Data for an optimized crystal structure of TmMoW.

Output
- raw total energy (eV/atom) = -7.519
- polymorph energy (0 for the lowest one) (meV/atom) = 1103
- E_form (eV per atom) = 1.9084
- theoretical density (g cm⁻³) = 11.6

Lattice parameters (Å, degrees): 6.351 6.351 6.351 90.00 90.00 90.00
Element x y z (fractional)
Tm 0.000 0.000 0.000
Tm 0.000 0.500 0.500
Tm 0.500 0.000 0.500
Tm 0.500 0.500 0.000
Mo 0.250 0.250 0.750
Mo 0.250 0.750 0.250
Mo 0.750 0.250 0.250
Mo 0.750 0.750 0.750
W 0.250 0.250 0.250
W 0.250 0.750 0.750
W 0.750 0.250 0.750
W 0.750 0.750 0.250



3.
## TlAgOsS3 (GGA-PBE)

Data for an optimized crystal structure of TlAgOsS3.

Output
- raw total energy (eV/atom) = -4.868
- theoretical density (g cm⁻³) = 7.5

Lattice parameters (Å, degrees): 8.146 8.146 9.213 90.00 90.00 154.25
Element x y z (fractional)
Tl 0.176 0.824 0.750
Tl 0.824 0.176 0.250
Ag 0.179 0.821 0.250
Ag 0.821 0.179 0.750
Os 0.500 0.500 0.000
Os 0.500 0.500 0.500
S 0.095 0.905 0.031
S 0.095 0.905 0.469
S 0.458 0.542 0.250
S 0.542 0.458 0.750
S 0.905 0.095 0.531
S 0.905 0.095 0.969



4.
## Tb2HoCo2B2C3 (GGA-PBE)

Data for an optimized crystal structure of Tb2HoCo2B2C3.

Output
- raw total energy (eV/atom) = -7.221
- theoretical density (g cm⁻³) = 8.4

Lattice parameters (Å, degrees): 10.540 10.540 10.540 160.58 160.58 27.60
Element x y z (fractional)
Tb 0.124 0.124 0.000
Tb 0.876 0.876 0.000
Ho 0.500 0.500 0.000
Co 0.250 0.750 0.500
Co 0.750 0.250 0.500
B 0.305 0.305 0.000
B 0.695 0.695 0.000
C 0.000 0.000 0.000
C 0.379 0.379 0.000
C 0.621 0.621 0.000



5.
## GdPaNb (GGA-PBE)

Data for an optimized crystal structure of GdPaNb.

Output
- raw total energy (eV/atom) = -7.382
- E_form (eV per atom) = 0.6990
- theoretical density (g cm⁻³) = 9.6

Lattice parameters (Å, degrees): 6.920 6.920 6.920 90.00 90.00 90.00
Element x y z (fractional)
Gd 0.000 0.000 0.000
Gd 0.000 0.500 0.500
Gd 0.500 0.000 0.500
Gd 0.500 0.500 0.000
Pa 0.000 0.000 0.500
Pa 0.000 0.500 0.000
Pa 0.500 0.000 0.000
Pa 0.500 0.500 0.500
Nb 0.250 0.250 0.250
Nb 0.250 0.750 0.750
Nb 0.750 0.250 0.750
Nb 0.750 0.750 0.250



6.
## MgZrScCo (GGA-PBE)

Data for an optimized crystal structure of MgZrScCo.

Output
- raw total energy (eV/atom) = -5.846
- polymorph energy (0 for the lowest one) (meV/atom) = 73
- theoretical density (g cm⁻³) = 5.1

Lattice parameters (Å, degrees): 6.579 6.579 6.579 90.00 90.00 90.00
Element x y z (fractional)
Mg 0.000 0.000 0.000
Mg 0.000 0.500 0.500
Mg 0.500 0.000 0.500
Mg 0.500 0.500 0.000
Zr 0.000 0.000 0.500
Zr 0.000 0.500 0.000
Zr 0.500 0.000 0.000
Zr 0.500 0.500 0.500
Sc 0.250 0.250 0.250
Sc 0.250 0.750 0.750
Sc 0.750 0.250 0.750
Sc 0.750 0.750 0.250
Co 0.250 0.250 0.750
Co 0.250 0.750 0.250
Co 0.750 0.250 0.250
Co 0.750 0.750 0.750



7.
## AcSn2Au2 (GGA-PBE)

Data for an optimized crystal structure of AcSn2Au2.

Output
- raw total energy (eV/atom) = -4.370
- theoretical density (g cm⁻³) = 11.0

Lattice parameters (Å, degrees): 4.797 4.797 11.235 90.00 90.00 90.00
Element x y z (fractional)
Ac 0.250 0.250 0.237
Ac 0.750 0.750 0.763
Sn 0.250 0.250 0.874
Sn 0.250 0.750 0.500
Sn 0.750 0.250 0.500
Sn 0.750 0.750 0.126
Au 0.250 0.250 0.635
Au 0.250 0.750 0.000
Au 0.750 0.250 0.000
Au 0.750 0.750 0.365



8.
## YZrFe2Ge2C (GGA-PBE)

Data for an optimized crystal structure of YZrFe2Ge2C.

Output
- raw total energy (eV/atom) = -7.719
- theoretical density (g cm⁻³) = 7.0

Lattice parameters (Å, degrees): 10.473 3.852 6.676 90.00 127.51 90.00
Element x y z (fractional)
Y 0.000 0.000 0.000
Y 0.500 0.500 0.000
Zr 0.116 0.000 0.575
Zr 0.616 0.500 0.575
Fe 0.257 0.500 0.378
Fe 0.363 0.000 0.204
Fe 0.757 0.000 0.378
Fe 0.863 0.500 0.204
Ge 0.218 0.500 0.984
Ge 0.399 0.000 0.590
Ge 0.718 0.000 0.984
Ge 0.899 0.500 0.590
C 0.063 0.500 0.305
C 0.563 0.000 0.305